[1]
Computed, not measured: a relaxed structure of Ba3Br2N at the PBE-GGA level of DFT.

Crystal system   orthorhombic
DFT total energy   -4.186 eV per atom
Space group   Cmc2_1 (36)
ΔE_f (raw)   -7.67 eV per formula unit
Spin magnetization   0.90 μB/f.u.

a b c (Å): 8.292 8.292 7.668
angles (deg): 90.00 90.00 57.97
Sites, in units of the cell vectors:
Ba 0.109 0.891 0.500
Ba 0.320 0.440 0.841
Ba 0.440 0.320 0.341
Ba 0.560 0.680 0.841
Ba 0.680 0.560 0.341
Ba 0.891 0.109 0.000
Br 0.006 0.327 0.678
Br 0.327 0.006 0.178
Br 0.673 0.994 0.678
Br 0.994 0.673 0.178
N 0.422 0.578 0.564
N 0.578 0.422 0.064

[2]
Computed, not measured: a relaxed structure of TcOs2Pt at the PBE-GGA level of DFT.

Crystal system   monoclinic
DFT total energy   -9.675 eV per atom
Space group   C2/m (12)
Spin magnetization   0.00 μB/f.u.
Energy of formation from the pure elements   42 meV/atom

a b c (Å): 4.766 4.766 4.776
angles (deg): 99.40 99.40 33.24
Sites, in units of the cell vectors:
Tc 0.000 0.000 0.000
Os 0.256 0.256 0.762
Os 0.744 0.744 0.238
Pt 0.500 0.500 0.500

[3]
Computed, not measured: a relaxed structure of Ac2NF3 at the PBE-GGA level of DFT.

Crystal system   monoclinic
DFT total energy   -6.954 eV per atom
Space group   C2/m (12)
ΔE_f (raw)   -19.57 eV per formula unit
Spin magnetization   0.00 μB/f.u.

a b c (Å): 7.534 7.534 7.468
angles (deg): 99.91 99.91 32.72
Sites, in units of the cell vectors:
Ac 0.108 0.108 0.387
Ac 0.378 0.378 0.146
Ac 0.622 0.622 0.854
Ac 0.892 0.892 0.613
N 0.065 0.065 0.694
N 0.935 0.935 0.306
F 0.197 0.197 0.088
F 0.313 0.313 0.459
F 0.433 0.433 0.826
F 0.567 0.567 0.174
F 0.687 0.687 0.541
F 0.803 0.803 0.912

[4]
Computed, not measured: a relaxed structure of Co2Cu2Tc at the PBE-GGA level of DFT.

Crystal system   tetragonal
DFT total energy   -6.174 eV per atom
Space group   P4/mbm (127)
Spin magnetization   3.79 μB/f.u.
Energy of formation from the pure elements   380 meV/atom

a b c (Å): 6.900 6.900 2.573
angles (deg): 90.00 90.00 90.00
Sites, in units of the cell vectors:
Co 0.176 0.324 0.000
Co 0.324 0.824 0.000
Co 0.676 0.176 0.000
Co 0.824 0.676 0.000
Cu 0.123 0.623 0.500
Cu 0.377 0.123 0.500
Cu 0.623 0.877 0.500
Cu 0.877 0.377 0.500
Tc 0.000 0.000 0.500
Tc 0.500 0.500 0.500

[5]
Computed, not measured: a relaxed structure of Sr2CuHg at the PBE-GGA level of DFT.

Crystal system   orthorhombic
DFT total energy   -2.221 eV per atom
Space group   Amm2 (38)
Spin magnetization   0.00 μB/f.u.
Energy of formation from the pure elements   -281 meV/atom

a b c (Å): 4.746 6.389 6.389
angles (deg): 40.89 90.00 90.00
Sites, in units of the cell vectors:
Sr 0.000 0.000 0.000
Sr 0.500 0.283 0.283
Cu 0.500 0.577 0.577
Hg 0.000 0.708 0.708

[6]
Computed, not measured: a relaxed structure of CaScCd2 at the PBE-GGA level of DFT.

Crystal system   monoclinic
DFT total energy   -2.642 eV per atom
Space group   C2/m (12)
Spin magnetization   0.00 μB/f.u.
Energy of formation from the pure elements   -101 meV/atom

a b c (Å): 5.186 5.186 6.504
angles (deg): 100.15 100.15 39.19
Sites, in units of the cell vectors:
Ca 0.000 0.000 0.000
Sc 0.500 0.500 0.500
Cd 0.245 0.245 0.713
Cd 0.755 0.755 0.287

Q: Which formula does entry 6 have?
A: CaScCd2

Please write out number 4 again, unchanged.
Computed, not measured: a relaxed structure of Co2Cu2Tc at the PBE-GGA level of DFT.

Crystal system   tetragonal
DFT total energy   -6.174 eV per atom
Space group   P4/mbm (127)
Spin magnetization   3.79 μB/f.u.
Energy of formation from the pure elements   380 meV/atom

a b c (Å): 6.900 6.900 2.573
angles (deg): 90.00 90.00 90.00
Sites, in units of the cell vectors:
Co 0.176 0.324 0.000
Co 0.324 0.824 0.000
Co 0.676 0.176 0.000
Co 0.824 0.676 0.000
Cu 0.123 0.623 0.500
Cu 0.377 0.123 0.500
Cu 0.623 0.877 0.500
Cu 0.877 0.377 0.500
Tc 0.000 0.000 0.500
Tc 0.500 0.500 0.500